# 1
# NaSrAu4, relaxed, DFT PBE
data_NaSrAu4
_chemical_formula_sum 'Na4 Sr4 Au16'
_space_group_name_H-M_alt 'F -4 3 m'
_space_group_IT_number 216
_space_group_name_Hall 'F -4 2 3'
_cell_length_a 8.109
_cell_length_b 8.109
_cell_length_c 8.109
_cell_angle_alpha 90.00
_cell_angle_beta 90.00
_cell_angle_gamma 90.00
loop_
_atom_site_label
_atom_site_fract_x
_atom_site_fract_y
_atom_site_fract_z
Na1 0.000 0.000 0.000
Sr1 0.250 0.250 0.250
Au1 0.125 0.125 0.625
# V in Å³ per cell: 533
# Crystal system: cubic
# Calculated formation energy in eV per atom: -0.494

***

# 2
# LaNd5Ga2, relaxed, DFT PBE
data_LaNd5Ga2
_chemical_formula_sum 'La2 Nd10 Ga4'
_space_group_name_H-M_alt 'I m m m'
_space_group_IT_number 71
_space_group_name_Hall '-I 2 2'
_cell_length_a 4.432
_cell_length_b 9.902
_cell_length_c 11.359
_cell_angle_alpha 90.00
_cell_angle_beta 90.00
_cell_angle_gamma 90.00
loop_
_atom_site_label
_atom_site_fract_x
_atom_site_fract_y
_atom_site_fract_z
La1 0.000 0.000 0.000
Nd1 0.000 0.201 0.349
Nd2 0.000 0.500 0.000
Ga1 0.000 0.500 0.279
# V in Å³ per cell: 498
# Crystal system: orthorhombic
# Calculated formation energy in eV per atom: -0.183

***

# 3
# Nd6SnGe2Br3, relaxed, DFT PBE
data_Nd6SnGe2Br3
_chemical_formula_sum 'Nd12 Sn2 Ge4 Br6'
_space_group_name_H-M_alt 'C 1 2/m 1'
_space_group_IT_number 12
_space_group_name_Hall '-C 2y'
_cell_length_a 19.224
_cell_length_b 4.374
_cell_length_c 8.835
_cell_angle_alpha 90.00
_cell_angle_beta 103.40
_cell_angle_gamma 90.00
loop_
_atom_site_label
_atom_site_fract_x
_atom_site_fract_y
_atom_site_fract_z
Nd1 0.012 0.000 0.250
Nd2 0.166 0.500 0.117
Nd3 0.175 0.500 0.568
Sn1 0.000 0.500 0.000
Ge1 0.168 0.000 0.339
Br1 0.000 0.500 0.500
Br2 0.165 0.000 0.835
# V in Å³ per cell: 723
# Crystal system: monoclinic
# VASP energy in eV per atom: -5.004

***

# 4
# Mg4CuNi, relaxed, DFT PBE
data_Mg4CuNi
_chemical_formula_sum 'Mg12 Cu3 Ni3'
_space_group_name_H-M_alt 'P 62 2 2'
_space_group_IT_number 180
_space_group_name_Hall 'P 62 2 (0 0 4)'
_cell_length_a 5.2363
_cell_length_b 5.2363
_cell_length_c 13.3650
_cell_angle_alpha 90.00
_cell_angle_beta 90.00
_cell_angle_gamma 120.00
loop_
_atom_site_label
_atom_site_fract_x
_atom_site_fract_y
_atom_site_fract_z
Mg1 0.0000 0.5000 0.0518
Mg2 0.1613 0.3227 0.5000
Cu1 0.0000 0.5000 0.6667
Ni1 0.0000 0.0000 0.0000
# V in Å³ per cell: 317
# Polymorph energy (0 for the lowest one) in meV per atom: 0
# Crystal system: hexagonal
# Calculated formation energy in eV per atom: -0.149

***

# 5
# TiMnSi2, relaxed, DFT PBE
data_TiMnSi2
_chemical_formula_sum 'Ti4 Mn4 Si8'
_space_group_name_H-M_alt 'I -4 2 d'
_space_group_IT_number 122
_space_group_name_Hall 'I -4 2bw'
_cell_length_a 3.577
_cell_length_b 3.577
_cell_length_c 17.750
_cell_angle_alpha 90.00
_cell_angle_beta 90.00
_cell_angle_gamma 90.00
loop_
_atom_site_label
_atom_site_fract_x
_atom_site_fract_y
_atom_site_fract_z
Ti1 0.000 0.000 0.000
Mn1 0.000 0.000 0.500
Si1 0.246 0.250 0.625
# V in Å³ per cell: 227
# Crystal system: tetragonal
# VASP energy in eV per atom: -6.943

***

# 6
# ZnTe2Pb2, relaxed, DFT PBE
data_ZnTe2Pb2
_chemical_formula_sum 'Zn2 Te4 Pb4'
_space_group_name_H-M_alt 'P 4/m b m'
_space_group_IT_number 127
_space_group_name_Hall '-P 4 2ab'
_cell_length_a 8.552
_cell_length_b 8.552
_cell_length_c 4.327
_cell_angle_alpha 90.00
_cell_angle_beta 90.00
_cell_angle_gamma 90.00
loop_
_atom_site_label
_atom_site_fract_x
_atom_site_fract_y
_atom_site_fract_z
Zn1 0.000 0.000 0.000
Te1 0.159 0.341 0.000
Pb1 0.149 0.649 0.500
# V in Å³ per cell: 316
# Polymorph energy (0 for the lowest one) in meV per atom: 23
# Crystal system: tetragonal

***

# 7
# LiYIn4S8, relaxed, DFT PBE
data_LiYIn4S8
_chemical_formula_sum 'Li3 Y3 In12 S24'
_space_group_name_H-M_alt 'R 3 m'
_space_group_IT_number 160
_space_group_name_Hall 'R 3 -2"'
_cell_length_a 7.7654
_cell_length_b 7.7654
_cell_length_c 19.0929
_cell_angle_alpha 90.00
_cell_angle_beta 90.00
_cell_angle_gamma 120.00
loop_
_atom_site_label
_atom_site_fract_x
_atom_site_fract_y
_atom_site_fract_z
Li1 0.0000 0.0000 0.0000
Y1 0.0000 0.0000 0.3679
In1 0.0000 0.0000 0.7526
In2 0.0175 0.5087 0.8784
S1 0.0000 0.0000 0.1326
S2 0.0000 0.0000 0.6167
S3 0.0203 0.5101 0.1301
S4 0.1698 0.3397 0.9542
# V in Å³ per cell: 997
# Crystal system: trigonal
# VASP energy in eV per atom: -4.648

***

# 8
# Pd2RuBr8, relaxed, DFT PBE
data_Pd2RuBr8
_chemical_formula_sum 'Pd4 Ru2 Br16'
_space_group_name_H-M_alt 'C 1 2/m 1'
_space_group_IT_number 12
_space_group_name_Hall '-C 2y'
_cell_length_a 10.342
_cell_length_b 10.078
_cell_length_c 7.651
_cell_angle_alpha 90.00
_cell_angle_beta 101.28
_cell_angle_gamma 90.00
loop_
_atom_site_label
_atom_site_fract_x
_atom_site_fract_y
_atom_site_fract_z
Pd1 0.123 0.000 0.397
Ru1 0.000 0.000 0.000
Br1 0.127 0.000 0.739
Br2 0.139 0.500 0.485
Br3 0.151 0.177 0.152
# V in Å³ per cell: 782
# Crystal system: monoclinic
# VASP energy in eV per atom: -3.099

***

# 9
# Ba2SeI, relaxed, DFT PBE
data_Ba2SeI
_chemical_formula_sum 'Ba6 Se3 I3'
_space_group_name_H-M_alt 'R 3 m'
_space_group_IT_number 160
_space_group_name_Hall 'R 3 -2"'
_cell_length_a 4.7083
_cell_length_b 4.7083
_cell_length_c 25.6527
_cell_angle_alpha 90.00
_cell_angle_beta 90.00
_cell_angle_gamma 120.00
loop_
_atom_site_label
_atom_site_fract_x
_atom_site_fract_y
_atom_site_fract_z
Ba1 0.0000 0.0000 0.0000
Ba2 0.0000 0.0000 0.1943
Se1 0.0000 0.0000 0.5953
I1 0.0000 0.0000 0.7651
# V in Å³ per cell: 492
# Polymorph energy (0 for the lowest one) in meV per atom: 24
# Crystal system: trigonal

***

# 10
# Sc2MnHgPd, relaxed, DFT PBE
data_Sc2MnHgPd
_chemical_formula_sum 'Sc2 Mn1 Hg1 Pd1'
_space_group_name_H-M_alt 'P 4/m m m'
_space_group_IT_number 123
_space_group_name_Hall '-P 4 2'
_cell_length_a 5.223
_cell_length_b 5.223
_cell_length_c 4.891
_cell_angle_alpha 90.00
_cell_angle_beta 90.00
_cell_angle_gamma 90.00
loop_
_atom_site_label
_atom_site_fract_x
_atom_site_fract_y
_atom_site_fract_z
Sc1 0.000 0.500 0.000
Mn1 0.000 0.000 0.500
Hg1 0.000 0.000 0.000
Pd1 0.500 0.500 0.500
# V in Å³ per cell: 133
# Crystal system: tetragonal
# Calculated formation energy in eV per atom: 0.679

***

# 11
# Rb5Nb3OF18, relaxed, DFT PBE
data_Rb5Nb3OF18
_chemical_formula_sum 'Rb20 Nb12 O4 F72'
_space_group_name_H-M_alt 'I 4 c m'
_space_group_IT_number 108
_space_group_name_Hall 'I 4 -2c'
_cell_length_a 15.802
_cell_length_b 15.802
_cell_length_c 7.970
_cell_angle_alpha 90.00
_cell_angle_beta 90.00
_cell_angle_gamma 90.00
loop_
_atom_site_label
_atom_site_fract_x
_atom_site_fract_y
_atom_site_fract_z
Rb1 0.000 0.500 0.000
Rb2 0.083 0.223 0.275
Nb1 0.000 0.000 0.007
Nb2 0.156 0.344 0.736
O1 0.000 0.000 0.234
F1 0.030 0.360 0.755
F2 0.043 0.116 0.976
F3 0.108 0.232 0.668
F4 0.135 0.365 0.493
F5 0.146 0.354 0.983
F6 0.241 0.259 0.815
# V in Å³ per cell: 1990
# Crystal system: tetragonal
# VASP energy in eV per atom: -5.796

***

# 12
# La4HOsCl2, relaxed, DFT PBE
data_La4HOsCl2
_chemical_formula_sum 'La4 H1 Os1 Cl2'
_space_group_name_H-M_alt 'P 1 2/m 1'
_space_group_IT_number 10
_space_group_name_Hall '-P 2y'
_cell_length_a 6.748
_cell_length_b 4.074
_cell_length_c 7.956
_cell_angle_alpha 90.00
_cell_angle_beta 106.99
_cell_angle_gamma 90.00
loop_
_atom_site_label
_atom_site_fract_x
_atom_site_fract_y
_atom_site_fract_z
La1 0.235 0.000 0.210
La2 0.255 0.500 0.792
H1 0.000 0.500 0.000
Os1 0.500 0.000 0.000
Cl1 0.000 0.000 0.500
Cl2 0.500 0.500 0.500
# V in Å³ per cell: 209
# Crystal system: monoclinic
# VASP energy in eV per atom: -5.710

***

# 13
# Li2BeAu6, relaxed, DFT PBE
data_Li2BeAu6
_chemical_formula_sum 'Li4 Be2 Au12'
_space_group_name_H-M_alt 'P 42/m n m'
_space_group_IT_number 136
_space_group_name_Hall '-P 4n 2n'
_cell_length_a 8.180
_cell_length_b 8.180
_cell_length_c 4.215
_cell_angle_alpha 90.00
_cell_angle_beta 90.00
_cell_angle_gamma 90.00
loop_
_atom_site_label
_atom_site_fract_x
_atom_site_fract_y
_atom_site_fract_z
Li1 0.200 0.200 0.000
Be1 0.000 0.000 0.500
Au1 0.026 0.317 0.500
Au2 0.122 0.878 0.000
# V in Å³ per cell: 282
# Polymorph energy (0 for the lowest one) in meV per atom: 0
# Crystal system: tetragonal
# Calculated formation energy in eV per atom: -0.319

***

# 14
# MgMnZnCo, relaxed, DFT PBE
data_MgMnZnCo
_chemical_formula_sum 'Mg4 Mn4 Zn4 Co4'
_space_group_name_H-M_alt 'F -4 3 m'
_space_group_IT_number 216
_space_group_name_Hall 'F -4 2 3'
_cell_length_a 6.057
_cell_length_b 6.057
_cell_length_c 6.057
_cell_angle_alpha 90.00
_cell_angle_beta 90.00
_cell_angle_gamma 90.00
loop_
_atom_site_label
_atom_site_fract_x
_atom_site_fract_y
_atom_site_fract_z
Mg1 0.000 0.000 0.000
Mn1 0.000 0.000 0.500
Zn1 0.250 0.250 0.750
Co1 0.250 0.250 0.250
# V in Å³ per cell: 222
# Crystal system: cubic
# Calculated formation energy in eV per atom: 0.065

***

# 15
# K2TaSe, relaxed, DFT PBE
data_K2TaSe
_chemical_formula_sum 'K4 Ta2 Se2'
_space_group_name_H-M_alt 'I m m 2'
_space_group_IT_number 44
_space_group_name_Hall 'I 2 -2'
_cell_length_a 3.475
_cell_length_b 6.123
_cell_length_c 12.609
_cell_angle_alpha 90.00
_cell_angle_beta 90.00
_cell_angle_gamma 90.00
loop_
_atom_site_label
_atom_site_fract_x
_atom_site_fract_y
_atom_site_fract_z
K1 0.000 0.000 0.000
K2 0.000 0.500 0.186
Ta1 0.000 0.000 0.378
Se1 0.000 0.500 0.729
# V in Å³ per cell: 268
# Crystal system: orthorhombic
# VASP energy in eV per atom: -4.077

***

# 16
# SrTc2Ag, relaxed, DFT PBE
data_SrTc2Ag
_chemical_formula_sum 'Sr2 Tc4 Ag2'
_space_group_name_H-M_alt 'I 4/m m m'
_space_group_IT_number 139
_space_group_name_Hall '-I 4 2'
_cell_length_a 3.948
_cell_length_b 3.948
_cell_length_c 10.144
_cell_angle_alpha 90.00
_cell_angle_beta 90.00
_cell_angle_gamma 90.00
loop_
_atom_site_label
_atom_site_fract_x
_atom_site_fract_y
_atom_site_fract_z
Sr1 0.000 0.000 0.000
Tc1 0.000 0.500 0.250
Ag1 0.000 0.000 0.500
# V in Å³ per cell: 158
# Polymorph energy (0 for the lowest one) in meV per atom: 600
# Crystal system: tetragonal
# Calculated formation energy in eV per atom: 0.943

***

# 17
# NiSnPd4, relaxed, DFT PBE
data_NiSnPd4
_chemical_formula_sum 'Ni2 Sn2 Pd8'
_space_group_name_H-M_alt 'C 1 2/m 1'
_space_group_IT_number 12
_space_group_name_Hall '-C 2y'
_cell_length_a 4.757
_cell_length_b 8.605
_cell_length_c 4.735
_cell_angle_alpha 90.00
_cell_angle_beta 106.52
_cell_angle_gamma 90.00
loop_
_atom_site_label
_atom_site_fract_x
_atom_site_fract_y
_atom_site_fract_z
Ni1 0.000 0.000 0.000
Sn1 0.000 0.500 0.500
Pd1 0.000 0.161 0.500
Pd2 0.000 0.335 0.000
# V in Å³ per cell: 186
# Crystal system: monoclinic
# Calculated formation energy in eV per atom: -0.273

***

# 18
# AcUAg2O6, relaxed, DFT PBE
data_AcUAg2O6
_chemical_formula_sum 'Ac1 U1 Ag2 O6'
_space_group_name_H-M_alt 'P 4 m m'
_space_group_IT_number 99
_space_group_name_Hall 'P 4 -2'
_cell_length_a 6.590
_cell_length_b 6.590
_cell_length_c 4.374
_cell_angle_alpha 90.00
_cell_angle_beta 90.00
_cell_angle_gamma 90.00
loop_
_atom_site_label
_atom_site_fract_x
_atom_site_fract_y
_atom_site_fract_z
Ac1 0.000 0.000 0.000
U1 0.500 0.500 0.069
Ag1 0.000 0.500 0.139
O1 0.000 0.000 0.502
O2 0.275 0.275 0.077
O3 0.500 0.500 0.574
# V in Å³ per cell: 190
# Crystal system: tetragonal
# VASP energy in eV per atom: -7.033

***

# 19
# LiEuGe2, relaxed, DFT PBE
data_LiEuGe2
_chemical_formula_sum 'Li4 Eu4 Ge8'
_space_group_name_H-M_alt 'F m -3 m'
_space_group_IT_number 225
_space_group_name_Hall '-F 4 2 3'
_cell_length_a 6.986
_cell_length_b 6.986
_cell_length_c 6.986
_cell_angle_alpha 90.00
_cell_angle_beta 90.00
_cell_angle_gamma 90.00
loop_
_atom_site_label
_atom_site_fract_x
_atom_site_fract_y
_atom_site_fract_z
Li1 0.000 0.000 0.000
Eu1 0.000 0.000 0.500
Ge1 0.250 0.250 0.250
# V in Å³ per cell: 341
# Polymorph energy (0 for the lowest one) in meV per atom: 231
# Crystal system: cubic
# Calculated formation energy in eV per atom: -0.345

***

# 20
# RbHg2Bi2Pb, relaxed, DFT PBE
data_RbHg2Bi2Pb
_chemical_formula_sum 'Rb1 Hg2 Bi2 Pb1'
_space_group_name_H-M_alt 'P -3 m 1'
_space_group_IT_number 164
_space_group_name_Hall '-P 3 2"'
_cell_length_a 5.1985
_cell_length_b 5.1985
_cell_length_c 9.1375
_cell_angle_alpha 90.00
_cell_angle_beta 90.00
_cell_angle_gamma 120.00
loop_
_atom_site_label
_atom_site_fract_x
_atom_site_fract_y
_atom_site_fract_z
Rb1 0.0000 0.0000 0.0000
Hg1 0.3333 0.6667 0.7348
Bi1 0.3333 0.6667 0.3064
Pb1 0.0000 0.0000 0.5000
# V in Å³ per cell: 214
# Crystal system: trigonal
# Calculated formation energy in eV per atom: -0.121

***

# 21
# Nd6ZnPt2I3, relaxed, DFT PBE
data_Nd6ZnPt2I3
_chemical_formula_sum 'Nd12 Zn2 Pt4 I6'
_space_group_name_H-M_alt 'C 1 2/m 1'
_space_group_IT_number 12
_space_group_name_Hall '-C 2y'
_cell_length_a 7.425
_cell_length_b 12.819
_cell_length_c 8.416
_cell_angle_alpha 90.00
_cell_angle_beta 107.08
_cell_angle_gamma 90.00
loop_
_atom_site_label
_atom_site_fract_x
_atom_site_fract_y
_atom_site_fract_z
Nd1 0.218 0.000 0.194
Nd2 0.240 0.327 0.197
Zn1 0.000 0.500 0.000
Pt1 0.000 0.168 0.000
I1 0.000 0.000 0.500
I2 0.000 0.338 0.500
# V in Å³ per cell: 766
# Crystal system: monoclinic
# VASP energy in eV per atom: -4.790